Material: NdPaCo
Method: DFT, GGA-PBE
State: relaxed

Lattice parameters (Å, degrees): 6.5648 6.5648 6.5648 90.00 90.00 90.00
Closest atoms and distances in Å follow each position.
Space group F-43m (No. 216)
Unique sites:
Nd1 0.0000 0.0000 0.0000 x4  4 Co 2.84, 4 Pa 2.84
Pa1 0.2500 0.2500 0.2500 x4  4 Nd 2.84
Co1 0.2500 0.2500 0.7500 x4  4 Nd 2.84

total energy: -6.243 eV/atom
energy of formation from the pure elements: 84.8 kJ/mol of atoms